Material: AlTeAsAu2
Method: DFT, PBE
State: relaxed

* uncorrected formation energy: 1.638 eV/f.u.
* electronic total energy: -3.29 eV per atom

Lattice parameters (Å, degrees): 4.925 4.925 5.139 90.00 90.00 90.00
Space group P4/mmm (No. 123)
Asymmetric unit:
Al  0.000  0.000  0.000 (multiplicity 1)
Te  0.500  0.500  0.000 (multiplicity 1)
As  0.000  0.000  0.500 (multiplicity 1)
Au  0.000  0.500  0.500 (multiplicity 2)

---

Material: MgHg8
Method: DFT, PBE
State: relaxed

* energy relative to the elements: -0.008 eV/atom
* electronic total energy: -0.45 eV per atom

Lattice parameters (Å, degrees): 11.904 11.904 3.249 90.00 90.00 90.00
Space group I4/mmm (No. 139)
Asymmetric unit:
Mg  0.000  0.000  0.000 (multiplicity 2)
Hg  0.000  0.334  0.000 (multiplicity 8)
Hg  0.157  0.157  0.500 (multiplicity 8)

---

Material: Er6ScCo2
Method: DFT, PBE
State: relaxed

* energy relative to the elements: -0.112 eV/atom
* electronic total energy: -5.44 eV per atom

Lattice parameters (Å, degrees): 9.350 9.570 9.958 90.00 90.00 90.00
Space group Immm (No. 71)
Asymmetric unit:
Er  0.000  0.206  0.244 (multiplicity 8)
Er  0.185  0.500  0.181 (multiplicity 8)
Er  0.216  0.316  0.500 (multiplicity 8)
Sc  0.000  0.000  0.000 (multiplicity 2)
Sc  0.000  0.000  0.500 (multiplicity 2)
Co  0.000  0.301  0.000 (multiplicity 4)
Co  0.000  0.500  0.386 (multiplicity 4)

---

Material: AcNd3Sm8
Method: DFT, PBE
State: relaxed

* energy relative to the elements: 0.300 eV/atom
* electronic total energy: -4.38 eV per atom

Lattice parameters (Å, degrees): 6.501 11.717 11.871 90.00 90.00 90.00
Space group Immm (No. 71)
Asymmetric unit:
Ac  0.000  0.000  0.000 (multiplicity 2)
Nd  0.000  0.240  0.500 (multiplicity 4)
Nd  0.000  0.500  0.000 (multiplicity 2)
Sm  0.000  0.252  0.176 (multiplicity 8)
Sm  0.243  0.000  0.261 (multiplicity 8)

---

Material: Ba2CeYSe4
Method: DFT, PBE
State: relaxed

* uncorrected formation energy: -14.992 eV/f.u.
* electronic total energy: -5.65 eV per atom

Lattice parameters (Å, degrees): 7.544 4.353 7.820 90.00 108.69 90.00
Space group P2/m (No. 10)
Asymmetric unit:
Ba  0.000  0.000  0.000 (multiplicity 1)
Ba  0.500  0.500  0.000 (multiplicity 1)
Ce  0.000  0.500  0.500 (multiplicity 1)
Y  0.500  0.000  0.500 (multiplicity 1)
Se  0.246  0.000  0.719 (multiplicity 2)
Se  0.268  0.500  0.285 (multiplicity 2)

---

Material: Rb4Ce3AuS8
Method: DFT, PBE
State: relaxed

* uncorrected formation energy: -22.895 eV/f.u.
* electronic total energy: -5.05 eV per atom

Lattice parameters (Å, degrees): 14.724 8.168 9.025 90.00 122.03 90.00
Space group C2/m (No. 12)
Asymmetric unit:
Rb  0.000  0.000  0.000 (multiplicity 2)
Rb  0.000  0.500  0.000 (multiplicity 2)
Rb  0.250  0.250  0.000 (multiplicity 4)
Ce  0.000  0.000  0.500 (multiplicity 2)
Ce  0.250  0.250  0.500 (multiplicity 4)
Au  0.000  0.500  0.500 (multiplicity 2)
S  0.024  0.251  0.315 (multiplicity 8)
S  0.229  0.000  0.696 (multiplicity 4)
S  0.247  0.000  0.295 (multiplicity 4)